# TbHoAlHg (PBE, optimized geometry)
# **Energy above the most stable polymorph in this dataset**: 0.000 eV/atom
# **Formation energy from the elements**: -0.435 eV/atom
# **SG**: No. 99
# **Crystal system**: tetragonal
data_TbHoAlHg
_chemical_formula_sum 'Tb1 Ho1 Al1 Hg1'
_space_group_name_H-M_alt 'P 1'
_space_group_IT_number 1
_space_group_name_Hall 'P 1'
_cell_length_a 3.605
_cell_length_b 3.605
_cell_length_c 7.573
_cell_angle_alpha 90.00
_cell_angle_beta 90.00
_cell_angle_gamma 90.00
loop_
_atom_site_label
_atom_site_fract_x
_atom_site_fract_y
_atom_site_fract_z
Tb1 0.000 0.000 0.000
Ho1 0.000 0.000 0.520
Al1 0.500 0.500 0.758
Hg1 0.500 0.500 0.266

# LaCe2MgAu4 (PBE, optimized geometry)
# **Formation energy from the elements**: -0.654 eV/atom
# **SG**: No. 166
# **Crystal system**: trigonal
data_LaCe2MgAu4
_chemical_formula_sum 'La1 Ce2 Mg1 Au4'
_space_group_name_H-M_alt 'P 1'
_space_group_IT_number 1
_space_group_name_Hall 'P 1'
_cell_length_a 9.029
_cell_length_b 9.029
_cell_length_c 9.029
_cell_angle_alpha 33.13
_cell_angle_beta 33.13
_cell_angle_gamma 33.13
loop_
_atom_site_label
_atom_site_fract_x
_atom_site_fract_y
_atom_site_fract_z
La1 0.000 0.000 0.000
Ce1 0.242 0.242 0.242
Ce2 0.758 0.758 0.758
Mg1 0.500 0.500 0.500
Au1 0.123 0.123 0.123
Au2 0.385 0.385 0.385
Au3 0.615 0.615 0.615
Au4 0.877 0.877 0.877

# HfTl2Bi2 (PBE, optimized geometry)
# **Energy above the most stable polymorph in this dataset**: 0.000 eV/atom
# **Formation energy from the elements**: 0.234 eV/atom
# **SG**: No. 127
# **Crystal system**: tetragonal
data_HfTl2Bi2
_chemical_formula_sum 'Hf2 Tl4 Bi4'
_space_group_name_H-M_alt 'P 1'
_space_group_IT_number 1
_space_group_name_Hall 'P 1'
_cell_length_a 7.747
_cell_length_b 7.747
_cell_length_c 5.237
_cell_angle_alpha 90.00
_cell_angle_beta 90.00
_cell_angle_gamma 90.00
loop_
_atom_site_label
_atom_site_fract_x
_atom_site_fract_y
_atom_site_fract_z
Hf1 0.000 0.000 0.000
Hf2 0.500 0.500 0.000
Tl1 0.172 0.328 0.500
Tl2 0.328 0.828 0.500
Tl3 0.672 0.172 0.500
Tl4 0.828 0.672 0.500
Bi1 0.147 0.647 0.000
Bi2 0.353 0.147 0.000
Bi3 0.647 0.853 0.000
Bi4 0.853 0.353 0.000

# BaRePb2 (PBE, optimized geometry)
# **Energy above the most stable polymorph in this dataset**: 0.014 eV/atom
# **Formation energy from the elements**: 0.431 eV/atom
# **SG**: No. 123
# **Crystal system**: tetragonal
data_BaRePb2
_chemical_formula_sum 'Ba1 Re1 Pb2'
_space_group_name_H-M_alt 'P 1'
_space_group_IT_number 1
_space_group_name_Hall 'P 1'
_cell_length_a 3.560
_cell_length_b 3.560
_cell_length_c 8.361
_cell_angle_alpha 90.00
_cell_angle_beta 90.00
_cell_angle_gamma 90.00
loop_
_atom_site_label
_atom_site_fract_x
_atom_site_fract_y
_atom_site_fract_z
Ba1 0.000 0.000 0.000
Re1 0.000 0.000 0.500
Pb1 0.500 0.500 0.310
Pb2 0.500 0.500 0.690